Record 1
CoPRhCl2: optimized geometry, PBE.

Lattice parameters (Å, degrees): 4.593 4.593 4.283 90.00 90.00 90.00
Sites, in units of the cell vectors:
1 Co 0.000 0.000 0.000
2 P 0.000 0.000 0.500
3 Rh 0.500 0.500 0.500
4 Cl 0.000 0.500 0.000
5 Cl 0.500 0.000 0.000

## Properties
Magnetic moment in μB per formula unit: 1.43
Density of states at the Fermi level in states/eV per atom: 1.206
E_form (uncorrected) in eV/atom: 0.620

***

Record 2
TcOs2: optimized geometry, PBE.

Lattice parameters (Å, degrees): 8.879 8.879 8.879 162.48 152.89 32.46
Sites, in units of the cell vectors:
1 Tc 0.359 0.109 0.250
2 Tc 0.641 0.891 0.750
3 Os 0.063 0.313 0.750
4 Os 0.212 0.462 0.750
5 Os 0.788 0.538 0.250
6 Os 0.937 0.687 0.250

## Properties
Magnetic moment in μB per formula unit: 0.00
Energy relative to the elements in eV per atom: 0.44
Density of states at the Fermi level in states/eV per atom: 1.048